1.
Crystalline TbCeInOs at its relaxed geometry, computed with GGA-PBE.

Total moment = 0.39 μB/cell
E above lowest polymorph = 197.0 meV per atom
Energy relative to the elements = -0.14 eV/atom
E_tot = -0.461 Ry per atom

a = 5.1106 Å, b = 5.1106 Å, c = 5.1106 Å
α = 60.00°, β = 60.00°, γ = 60.00°
Last column: nearest neighbours and their distance in Å.
Fractional positions:
Tb1 0.0000 0.0000 0.0000  4 Os 3.13, 4 In 3.13
Ce1 0.5000 0.5000 0.5000  4 Os 3.13, 4 In 3.13
In1 0.2500 0.2500 0.2500  4 Tb 3.13, 4 Ce 3.13
Os1 0.7500 0.7500 0.7500  4 Tb 3.13, 4 Ce 3.13

2.
Crystalline ZrReTe2N at its relaxed geometry, computed with GGA-PBE.

Total moment = 0.53 μB/cell
E above lowest polymorph = 0.0 meV per atom
E_form (uncorrected) = 0.2424 eV/atom
E_tot = -0.506 Ry per atom

a = 5.4502 Å, b = 5.4502 Å, c = 3.7305 Å
α = 90.00°, β = 90.00°, γ = 90.00°
Last column: nearest neighbours and their distance in Å.
Fractional positions:
Zr1 0.0000 0.0000 0.0000  8 Te 3.30
Re1 0.5000 0.5000 0.5000  2 N 1.87
Te1 0.0000 0.5000 0.5000  2 Re 2.73
Te2 0.5000 0.0000 0.5000  2 Re 2.73
N1 0.5000 0.5000 0.0000  2 Re 1.87